No. 1
BeFe3Co: optimized geometry, PBE.

## Properties
Energy relative to the lowest polymorph listed for this composition, meV/atom: 0
Space-group type: Pm-3m (221)
Total magnetic moment, μB per cell: 8.7
Formation energy, eV per atom: 0.61

The structure in POSCAR format:
```
BeFe3Co
1.0
3.8771 0.0000 0.0000
0.0000 3.8771 0.0000
0.0000 0.0000 3.8771
Be Co Fe
1 1 3
direct
0.0000 0.0000 0.0000 Be
0.5000 0.5000 0.5000 Co
0.0000 0.5000 0.0000 Fe
0.0000 0.0000 0.5000 Fe
0.5000 0.0000 0.0000 Fe
```

---

No. 2
Be5FeCo2: optimized geometry, PBE.

## Properties
Space-group type: I4/mmm (139)
Total magnetic moment, μB per cell: 0.0
Formation energy, eV per atom: -0.23

The structure in POSCAR format:
```
Be5FeCo2
1.0
3.6313 0.0000 0.0000
0.0000 3.6313 0.0000
-1.8156 -1.8156 5.1725
Be Fe Co
5 1 2
direct
0.5000 0.5000 0.0000 Be
0.8715 0.3715 0.7430 Be
0.3715 0.8715 0.7430 Be
0.1285 0.6285 0.2570 Be
0.6285 0.1285 0.2570 Be
0.0000 0.0000 0.0000 Fe
0.7485 0.7485 0.4970 Co
0.2515 0.2515 0.5030 Co
```

---

No. 3
BeFe3Co4: optimized geometry, PBE.

## Properties
Space-group type: P4/mmm (123)
Total magnetic moment, μB per cell: 14.3
Formation energy, eV per atom: -0.11

The structure in POSCAR format:
```
BeFe3Co4
1.0
-1.8631 -1.7787 -1.1267
0.3748 -1.7605 2.1597
-8.1001 5.0080 5.4880
Be Co Fe
1 4 3
direct
0.5000 0.5000 0.0000 Be
0.0000 0.0000 0.8874 Co
0.0000 0.0000 0.1126 Co
0.0000 0.0000 0.3695 Co
0.0000 0.0000 0.6305 Co
0.5000 0.5000 0.2370 Fe
0.5000 0.5000 0.5000 Fe
0.5000 0.5000 0.7630 Fe
```

---

No. 4
Be2Fe2Co: optimized geometry, PBE.

## Properties
Energy relative to the lowest polymorph listed for this composition, meV/atom: 364
Space-group type: P4/mbm (127)
Total magnetic moment, μB per cell: 0.0
Formation energy, eV per atom: 0.24

The structure in POSCAR format:
```
Be2Fe2Co
1.0
6.2263 0.0000 0.0000
0.0000 6.2263 0.0000
0.0000 0.0000 2.4906
Be Co Fe
4 2 4
direct
0.1763 0.6763 0.5000 Be
0.6763 0.8237 0.5000 Be
0.8237 0.3237 0.5000 Be
0.3237 0.1763 0.5000 Be
0.0000 0.0000 0.0000 Co
0.5000 0.5000 0.0000 Co
0.3782 0.8782 0.0000 Fe
0.8782 0.6218 0.0000 Fe
0.6218 0.1218 0.0000 Fe
0.1218 0.3782 0.0000 Fe
```

---

No. 5
Be3FeCo: optimized geometry, PBE.

## Properties
Energy relative to the lowest polymorph listed for this composition, meV/atom: 797
Space-group type: Pm-3m (221)
Total magnetic moment, μB per cell: 2.9
Formation energy, eV per atom: 0.61

The structure in POSCAR format:
```
Be3FeCo
1.0
-3.4704 -1.5295 0.5745
1.6335 -3.2749 1.1486
0.0325 1.2838 3.6143
Be Co Fe
3 1 1
direct
0.0000 0.5000 0.0000 Be
0.0000 0.0000 0.5000 Be
0.5000 0.0000 0.0000 Be
0.0000 0.0000 0.0000 Co
0.5000 0.5000 0.5000 Fe
```

---

No. 6
Be3FeCo4: optimized geometry, PBE.

## Properties
Space-group type: P4/mmm (123)
Total magnetic moment, μB per cell: 10.2
Formation energy, eV per atom: -0.21

The structure in POSCAR format:
```
Be3FeCo4
1.0
-1.4086 -1.3278 3.2211
2.2062 -4.7608 -0.9976
6.2383 2.1348 3.6081
Be Co Fe
6 8 2
direct
0.0000 0.0000 0.0000 Be
0.0000 0.0000 0.5000 Be
0.5009 0.0000 0.7500 Be
0.4991 0.0000 0.2500 Be
0.5008 0.5000 0.7500 Be
0.4992 0.5000 0.2500 Be
0.5000 0.7631 0.0000 Co
0.5000 0.7631 0.5000 Co
0.5000 0.2369 0.0000 Co
0.5000 0.2369 0.5000 Co
0.0007 0.7631 0.7500 Co
0.9993 0.7631 0.2500 Co
0.9993 0.2369 0.2500 Co
0.0007 0.2369 0.7500 Co
0.0000 0.5000 0.0000 Fe
0.0000 0.5000 0.5000 Fe
```

---

No. 7
Be5Fe2Co: optimized geometry, PBE.

## Properties
Space-group type: Immm (71)
Total magnetic moment, μB per cell: 3.1
Formation energy, eV per atom: -0.04

The structure in POSCAR format:
```
Be5Fe2Co
1.0
2.3423 0.0000 -0.4653
-0.3785 4.0503 -1.9052
0.2162 0.9235 7.2157
Be Fe Co
5 2 1
direct
0.0000 0.5000 0.0000 Be
0.6161 0.3611 0.2323 Be
0.3839 0.6389 0.7677 Be
0.6161 0.8712 0.2323 Be
0.3839 0.1288 0.7677 Be
0.2374 0.7374 0.4748 Fe
0.7626 0.2626 0.5252 Fe
0.0000 0.0000 0.0000 Co
```

---

No. 8
Be2Fe2Co: optimized geometry, PBE.

## Properties
Energy relative to the lowest polymorph listed for this composition, meV/atom: 25
Space-group type: P2_1/m (11)
Total magnetic moment, μB per cell: 10.1
Formation energy, eV per atom: -0.10

The structure in POSCAR format:
```
Be2Fe2Co
1.0
3.8024 0.0000 0.0000
0.0000 4.3554 0.7933
0.0000 2.0878 6.2526
Be Fe Co
4 4 2
direct
0.2500 0.3807 0.4784 Be
0.7500 0.8173 0.1355 Be
0.2500 0.1827 0.8645 Be
0.7500 0.6193 0.5216 Be
0.7500 0.4083 0.9335 Fe
0.2500 0.7865 0.6574 Fe
0.2500 0.5917 0.0665 Fe
0.7500 0.2135 0.3426 Fe
0.7500 0.0346 0.7412 Co
0.2500 0.9654 0.2588 Co
```

---

No. 9
Be2Fe2Co: optimized geometry, PBE.

## Properties
Energy relative to the lowest polymorph listed for this composition, meV/atom: 0
Space-group type: P4/mbm (127)
Total magnetic moment, μB per cell: 10.1
Formation energy, eV per atom: -0.12

The structure in POSCAR format:
```
Be2Fe2Co
1.0
-4.9729 2.9091 0.3506
-2.8933 -4.9842 0.3181
0.2300 0.0488 2.8571
Be Co Fe
4 2 4
direct
0.3727 0.8727 0.0000 Be
0.8727 0.6273 0.0000 Be
0.6273 0.1273 0.0000 Be
0.1273 0.3727 0.0000 Be
0.0000 0.0000 0.0000 Co
0.5000 0.5000 0.0000 Co
0.1701 0.6701 0.5000 Fe
0.6701 0.8299 0.5000 Fe
0.8299 0.3299 0.5000 Fe
0.3299 0.1701 0.5000 Fe
```

---

No. 10
BeFeCo3: optimized geometry, PBE.

## Properties
Energy relative to the lowest polymorph listed for this composition, meV/atom: 902
Space-group type: Pm-3m (221)
Total magnetic moment, μB per cell: 6.4
Formation energy, eV per atom: 1.36

The structure in POSCAR format:
```
BeFeCo3
1.0
-1.6166 0.7561 -3.8087
1.3144 -3.7755 -1.3074
-3.6538 -1.6927 1.2148
Be Co Fe
1 3 1
direct
0.5000 0.5000 0.5000 Be
0.0000 0.5000 0.0000 Co
0.0000 0.0000 0.5000 Co
0.5000 0.0000 0.0000 Co
0.0000 0.0000 0.0000 Fe
```

---

No. 11
BeFe5Co6: optimized geometry, PBE.

## Properties
Space-group type: Immm (71)
Total magnetic moment, μB per cell: 23.1
Formation energy, eV per atom: -0.09

The structure in POSCAR format:
```
BeFe5Co6
1.0
3.7916 0.0032 -1.1666
-0.6181 5.2346 -1.9947
0.0373 -0.4136 6.8647
Be Co Fe
1 6 5
direct
0.0000 0.0000 0.0000 Be
0.1655 0.4131 0.3311 Co
0.1656 0.9180 0.3311 Co
0.5000 0.2451 0.0000 Co
0.5000 0.7549 0.0000 Co
0.8344 0.0820 0.6689 Co
0.8345 0.5869 0.6689 Co
0.3347 0.8347 0.6693 Fe
0.6657 0.6657 0.3314 Fe
0.0000 0.5000 0.0000 Fe
0.3343 0.3343 0.6686 Fe
0.6653 0.1653 0.3307 Fe
```

---

No. 12
Be3FeCo: optimized geometry, PBE.

## Properties
Energy relative to the lowest polymorph listed for this composition, meV/atom: 0
Space-group type: P2_1/m (11)
Total magnetic moment, μB per cell: 3.6
Formation energy, eV per atom: -0.19

The structure in POSCAR format:
```
Be3FeCo
1.0
-3.2040 -1.7673 0.6746
1.2571 -2.9542 -1.7686
7.2245 0.4002 4.4667
Be Fe Co
6 2 2
direct
0.5824 0.2500 0.5910 Be
0.4176 0.7500 0.4090 Be
0.7898 0.7500 0.9999 Be
0.8154 0.2500 0.4101 Be
0.1846 0.7500 0.5899 Be
0.2102 0.2500 0.0001 Be
0.5932 0.7500 0.2054 Fe
0.4068 0.2500 0.7946 Fe
0.0326 0.2500 0.2068 Co
0.9674 0.7500 0.7932 Co
```